No. 1
The following is a DFT calculation (PBE-GGA) of BaGe2Mo after structural relaxation.

The structure belongs to space group Fm-3m (No. 225); the cell edges are 7.136, 7.136 and 7.136 Å and the angles 90.00°, 90.00° and 90.00°. Symmetry generates all atoms from Ba at (0.000, 0.000, 0.000), Ge at (0.250, 0.250, 0.250) and Mo at (0.000, 0.000, 0.500).

The value obtained for the formation energy is 445 meV/atom. As for the total magnetization: 2.0 μB per formula unit. Its excess energy over the best structure of this formula in the dataset is 452.2 meV per atom.



No. 2
The following is a DFT calculation (PBE-GGA) of BaGe2Mo2 after structural relaxation.

The structure belongs to space group I4/mmm (No. 139); the cell edges are 4.899, 4.899 and 9.318 Å and the angles 90.00°, 90.00° and 90.00°. Symmetry generates all atoms from Ba at (0.000, 0.000, 0.000), Ge at (0.000, 0.500, 0.250) and Mo at (0.000, 0.000, 0.379).

The value obtained for the formation energy is 108 meV/atom. As for the total magnetization: 0.0 μB per formula unit.



No. 3
The following is a DFT calculation (PBE-GGA) of BaGeMo2 after structural relaxation.

The structure belongs to space group I-42d (No. 122); the cell edges are 4.822, 4.822 and 18.721 Å and the angles 90.00°, 90.00° and 90.00°. Symmetry generates all atoms from Ba at (0.000, 0.000, 0.000), Ge at (0.000, 0.000, 0.500) and Mo at (0.031, 0.750, 0.625).

The value obtained for the formation energy is 695 meV/atom. As for the total magnetization: 0.0 μB per formula unit.



No. 4
The following is a DFT calculation (PBE-GGA) of BaGe2Mo after structural relaxation.

The structure belongs to space group I4_1/amd (No. 141, origin choice 2); the cell edges are 5.602, 5.602 and 15.896 Å and the angles 90.00°, 90.00° and 90.00°. Symmetry generates all atoms from Ba at (0.000, 0.250, 0.375), Ge at (0.000, 0.000, 0.000) and Mo at (0.000, 0.250, 0.875).

The value obtained for the formation energy is -7 meV/atom. As for the total magnetization: 0.0 μB per formula unit. Its excess energy over the best structure of this formula in the dataset is 0.0 meV per atom.



No. 5
The following is a DFT calculation (PBE-GGA) of Ba3GeMo after structural relaxation.

The structure belongs to space group Pm-3m (No. 221); the cell edges are 5.824, 5.824 and 5.824 Å and the angles 90.00°, 90.00° and 90.00°. Symmetry generates all atoms from Ba at (0.000, 0.000, 0.500), Ge at (0.500, 0.500, 0.500) and Mo at (0.000, 0.000, 0.000).

The value obtained for the formation energy is 725 meV/atom. As for the total magnetization: 1.0 μB per formula unit.



No. 6
The following is a DFT calculation (PBE-GGA) of Ba2Ge2MoN6 after structural relaxation.

The structure belongs to space group R-3m (No. 166, hexagonal axes); the cell edges are 5.8816, 5.8816 and 17.2265 Å and the angles 90.00°, 90.00° and 120.00°. Symmetry generates all atoms from Ba at (0.0000, 0.0000, 0.2135), Ge at (0.0000, 0.0000, 0.4051), Mo at (0.0000, 0.0000, 0.0000) and N at (0.0172, 0.5086, 0.7402).

For the formation energy (no corrections), the calculation gives -15 kJ per mole of atoms. As for the total magnetization: 0.0 μB per formula unit.